Below is crystalline Mg5Cd12Ga2 at its relaxed geometry, with properties calculated at the PBE level.

Properties
Raw total energy (eV per atom): -1.332
Formation energy (eV/atom): -0.015
Crystal system: monoclinic
Fermi-level density of states (states/eV per cell): 7.5

Unit cell a=7.936 b=7.936 c=7.225 alpha=91.83 beta=91.83 gamma=68.84
Fractional positions:
Mg1 0.000 0.000 0.000
Mg2 0.240 0.240 0.069
Mg3 0.326 0.326 0.544
Mg4 0.674 0.674 0.456
Mg5 0.760 0.760 0.931
Cd1 0.028 0.650 0.256
Cd2 0.103 0.103 0.400
Cd3 0.159 0.608 0.859
Cd4 0.350 0.972 0.744
Cd5 0.392 0.841 0.141
Cd6 0.452 0.452 0.195
Cd7 0.548 0.548 0.805
Cd8 0.608 0.159 0.859
Cd9 0.650 0.028 0.256
Cd10 0.841 0.392 0.141
Cd11 0.897 0.897 0.600
Cd12 0.972 0.350 0.744
Ga1 0.288 0.712 0.500
Ga2 0.712 0.288 0.500

=====

Below is crystalline Mg2Cd6Ga at its relaxed geometry, with properties calculated at the PBE level.

Properties
Raw total energy (eV per atom): -1.330
Formation energy (eV/atom): -0.029
Crystal system: monoclinic
Fermi-level density of states (states/eV per cell): 2.3

Unit cell a=7.548 b=7.548 c=10.776 alpha=126.80 beta=126.80 gamma=24.18
Fractional positions:
Mg1 0.158 0.158 0.288
Mg2 0.842 0.842 0.712
Cd1 0.120 0.120 0.544
Cd2 0.268 0.268 0.893
Cd3 0.457 0.457 0.243
Cd4 0.543 0.543 0.757
Cd5 0.732 0.732 0.107
Cd6 0.880 0.880 0.456
Ga1 0.500 0.500 0.000

=====

Below is crystalline MgCd3Ga at its relaxed geometry, with properties calculated at the PBE level.

Properties
Raw total energy (eV per atom): -1.026
Formation energy (eV/atom): 0.447
Crystal system: cubic
Fermi-level density of states (states/eV per cell): 2.7

Unit cell a=5.339 b=5.339 c=5.339 alpha=90.00 beta=90.00 gamma=90.00
Fractional positions:
Mg1 0.000 0.000 0.000
Cd1 0.000 0.000 0.500
Cd2 0.000 0.500 0.000
Cd3 0.500 0.000 0.000
Ga1 0.500 0.500 0.500

=====

Below is crystalline Mg6CdGa6 at its relaxed geometry, with properties calculated at the PBE level.

Properties
Raw total energy (eV per atom): -2.295
Formation energy (eV/atom): -0.091
Crystal system: hexagonal
Fermi-level density of states (states/eV per cell): 4.1

Unit cell a=5.494 b=5.494 c=10.215 alpha=90.00 beta=90.00 gamma=120.00
Fractional positions:
Mg1 0.000 0.000 0.145
Mg2 0.000 0.000 0.855
Mg3 0.333 0.667 0.000
Mg4 0.333 0.667 0.500
Mg5 0.667 0.333 0.000
Mg6 0.667 0.333 0.500
Cd1 0.000 0.000 0.500
Ga1 0.000 0.500 0.254
Ga2 0.000 0.500 0.746
Ga3 0.500 0.000 0.254
Ga4 0.500 0.000 0.746
Ga5 0.500 0.500 0.254
Ga6 0.500 0.500 0.746

=====

Below is crystalline MgCdGa4 at its relaxed geometry, with properties calculated at the PBE level.

Properties
Raw total energy (eV per atom): -2.429
Formation energy (eV/atom): 0.008
Crystal system: cubic
Fermi-level density of states (states/eV per cell): 2.2

Unit cell a=5.564 b=5.564 c=5.564 alpha=60.00 beta=60.00 gamma=60.00
Fractional positions:
Mg1 0.000 0.000 0.000
Cd1 0.250 0.250 0.250
Ga1 0.124 0.625 0.625
Ga2 0.625 0.124 0.625
Ga3 0.625 0.625 0.124
Ga4 0.625 0.625 0.625

=====

Below is crystalline MgCd2Ga at its relaxed geometry, with properties calculated at the PBE level.

Properties
Raw total energy (eV per atom): -1.611
Formation energy (eV/atom): 0.002
Crystal system: tetragonal
Fermi-level density of states (states/eV per cell): 1.7

Unit cell a=3.462 b=3.462 c=7.200 alpha=90.00 beta=90.00 gamma=90.00
Fractional positions:
Mg1 0.000 0.000 0.000
Cd1 0.500 0.500 0.257
Cd2 0.500 0.500 0.743
Ga1 0.000 0.000 0.500

=====

Below is crystalline Mg2Cd2Ga at its relaxed geometry, with properties calculated at the PBE level.

Properties
Raw total energy (eV per atom): -1.471
Formation energy (eV/atom): 0.139
Crystal system: tetragonal
Fermi-level density of states (states/eV per cell): 5.2

Unit cell a=4.158 b=4.158 c=13.945 alpha=90.00 beta=90.00 gamma=90.00
Fractional positions:
Mg1 0.000 0.500 0.250
Mg2 0.000 0.500 0.750
Mg3 0.500 0.000 0.250
Mg4 0.500 0.000 0.750
Cd1 0.000 0.000 0.100
Cd2 0.000 0.000 0.900
Cd3 0.500 0.500 0.400
Cd4 0.500 0.500 0.600
Ga1 0.000 0.000 0.500
Ga2 0.500 0.500 0.000

=====

Below is crystalline MgCd2Ga at its relaxed geometry, with properties calculated at the PBE level.

Properties
Raw total energy (eV per atom): -1.521
Formation energy (eV/atom): 0.092
Crystal system: tetragonal
Fermi-level density of states (states/eV per cell): 6.5

Unit cell a=8.053 b=8.053 c=5.807 alpha=90.00 beta=90.00 gamma=90.00
Fractional positions:
Mg1 0.000 0.000 0.000
Mg2 0.000 0.500 0.250
Mg3 0.500 0.000 0.750
Mg4 0.500 0.500 0.500
Cd1 0.228 0.250 0.625
Cd2 0.250 0.728 0.875
Cd3 0.250 0.772 0.375
Cd4 0.272 0.250 0.125
Cd5 0.728 0.750 0.125
Cd6 0.750 0.228 0.375
Cd7 0.750 0.272 0.875
Cd8 0.772 0.750 0.625
Ga1 0.000 0.000 0.500
Ga2 0.000 0.500 0.750
Ga3 0.500 0.000 0.250
Ga4 0.500 0.500 0.000

=====

Below is crystalline Mg3CdGa4 at its relaxed geometry, with properties calculated at the PBE level.

Properties
Raw total energy (eV per atom): -2.319
Formation energy (eV/atom): -0.094
Crystal system: triclinic
Fermi-level density of states (states/eV per cell): 3.0

Unit cell a=3.048 b=5.277 c=9.852 alpha=84.10 beta=89.88 gamma=89.59
Fractional positions:
Mg1 0.000 0.000 0.000
Mg2 0.002 0.434 0.730
Mg3 0.998 0.566 0.270
Cd1 0.500 0.500 0.000
Ga1 0.489 0.751 0.502
Ga2 0.497 0.068 0.248
Ga3 0.503 0.932 0.752
Ga4 0.511 0.249 0.498

=====

Below is crystalline MgCd2Ga at its relaxed geometry, with properties calculated at the PBE level.

Properties
Raw total energy (eV per atom): -1.512
Formation energy (eV/atom): 0.101
Crystal system: trigonal
Fermi-level density of states (states/eV per cell): 4.8

Unit cell a=3.087 b=3.087 c=33.268 alpha=90.00 beta=90.00 gamma=120.00
Fractional positions:
Mg1 0.000 0.000 0.000
Mg2 0.333 0.667 0.667
Mg3 0.667 0.333 0.333
Cd1 0.000 0.000 0.090
Cd2 0.000 0.000 0.910
Cd3 0.333 0.667 0.576
Cd4 0.333 0.667 0.757
Cd5 0.667 0.333 0.243
Cd6 0.667 0.333 0.424
Ga1 0.000 0.000 0.500
Ga2 0.333 0.667 0.167
Ga3 0.667 0.333 0.833

=====

Below is crystalline MgCdGa3 at its relaxed geometry, with properties calculated at the PBE level.

Properties
Raw total energy (eV per atom): -1.889
Formation energy (eV/atom): 0.429
Crystal system: cubic
Fermi-level density of states (states/eV per cell): 3.0

Unit cell a=5.131 b=5.131 c=5.131 alpha=90.00 beta=90.00 gamma=90.00
Fractional positions:
Mg1 0.000 0.000 0.000
Cd1 0.500 0.500 0.500
Ga1 0.000 0.000 0.500
Ga2 0.000 0.500 0.000
Ga3 0.500 0.000 0.000

=====

Below is crystalline MgCdGa6 at its relaxed geometry, with properties calculated at the PBE level.

Properties
Raw total energy (eV per atom): -2.525
Formation energy (eV/atom): 0.058
Crystal system: monoclinic
Fermi-level density of states (states/eV per cell): 4.4

Unit cell a=9.022 b=5.702 c=6.810 alpha=90.00 beta=99.22 gamma=90.00
Fractional positions:
Mg1 0.000 0.000 0.000
Mg2 0.500 0.500 0.000
Cd1 0.000 0.500 0.500
Cd2 0.500 0.000 0.500
Ga1 0.137 0.500 0.953
Ga2 0.215 0.251 0.300
Ga3 0.215 0.749 0.300
Ga4 0.285 0.249 0.700
Ga5 0.285 0.751 0.700
Ga6 0.363 0.000 0.047
Ga7 0.637 0.000 0.953
Ga8 0.715 0.249 0.300
Ga9 0.715 0.751 0.300
Ga10 0.785 0.251 0.700
Ga11 0.785 0.749 0.700
Ga12 0.863 0.500 0.047